Compound: AcS4Br
Source: Alexandria
Functional: PBE
Structure: optimized geometry

Results
M_tot (Bohr magnetons per cell): 0.4
E_form (uncorrected) (eV/atom): -0.8788
Total DFT energy (no corrections) (eV per atom): -4.5940

Lattice parameters (Å, degrees): 5.2950 8.9780 9.0405 88.53 87.29 78.11
Last column: nearest neighbours and their distance in Å.
Space group P-1 (No. 2)
Unique sites:
Ac 0.0179 0.2246 0.1750 (multiplicity 2)  7 S 3.02-3.15, 2 Br 3.07-3.10
S 0.1394 0.0565 0.4773 (multiplicity 2)  1 S 1.98
S 0.1455 0.0863 0.8564 (multiplicity 2)  1 S 1.99
S 0.1810 0.4619 0.9548 (multiplicity 2)  1 S 2.04
S 0.2334 0.8816 0.1001 (multiplicity 2)  1 S 1.99
Br 0.4761 0.3176 0.3238 (multiplicity 2)  2 Ac 3.07-3.10



Compound: Ta2MnTc
Source: Alexandria
Functional: PBE
Structure: optimized geometry

Results
M_tot (Bohr magnetons per cell): 0.0
DFT formation energy (eV per atom): 0.565
Total DFT energy (no corrections) (eV per atom): -10.2454

Lattice parameters (Å, degrees): 6.9168 6.9168 5.4938 90.00 90.00 90.00
Last column: nearest neighbours and their distance in Å.
Space group I-42d (No. 122)
Unique sites:
Ta 0.2351 0.7500 0.1250 (multiplicity 8)  2 Mn 2.47, 2 Tc 2.61, 2 Ta 2.75
Mn 0.0000 0.0000 0.0000 (multiplicity 4)  4 Ta 2.47, 2 Tc 2.75
Tc 0.0000 0.0000 0.5000 (multiplicity 4)  4 Ta 2.61, 2 Mn 2.75



Compound: NaHgH
Source: Alexandria
Functional: PBE
Structure: optimized geometry

Results
M_tot (Bohr magnetons per cell): 0.0
Offset from the most stable computed form (eV per formula unit): 0.00
Total DFT energy (no corrections) (eV per atom): -1.7255

Lattice parameters (Å, degrees): 10.7226 3.6452 7.8930 90.00 127.54 90.00
Last column: nearest neighbours and their distance in Å.
Space group C2/m (No. 12)
Unique sites:
Na 0.0611 0.0000 0.3084 (multiplicity 4)  4 H 2.69-2.75
Hg 0.1842 0.5000 0.1096 (multiplicity 4)  2 H 3.08, 5 Na 3.17-3.33, 3 Hg 3.21-3.36
H 0.0428 0.5000 0.5534 (multiplicity 4)  1 H 0.78



Compound: Mo2AsPtBr
Source: Alexandria
Functional: PBE
Structure: optimized geometry

Results
M_tot (Bohr magnetons per cell): 6.2
E_form (uncorrected) (eV/atom): 1.1709
Total DFT energy (no corrections) (eV per atom): -5.6342

Lattice parameters (Å, degrees): 4.9594 4.9594 4.6356 90.00 90.00 90.00
Last column: nearest neighbours and their distance in Å.
Space group P4/mmm (No. 123)
Unique sites:
Mo 0.0000 0.5000 0.0000 (multiplicity 2)  2 As 2.48
As 0.0000 0.0000 0.0000 (multiplicity 1)  2 Pt 2.32, 4 Mo 2.48
Pt 0.0000 0.0000 0.5000 (multiplicity 1)  2 As 2.32
Br 0.5000 0.5000 0.5000 (multiplicity 1)  8 Mo 3.39, 4 Pt 3.51



Compound: Cu2RuCl
Source: Alexandria
Functional: PBE
Structure: optimized geometry

Results
M_tot (Bohr magnetons per cell): 1.9
Offset from the most stable computed form (eV per formula unit): 0.38
E_form (uncorrected) (eV/atom): 0.4116
Total DFT energy (no corrections) (eV per atom): -4.4171

Lattice parameters (Å, degrees): 2.8801 2.8801 7.1190 90.00 90.00 90.00
Last column: nearest neighbours and their distance in Å.
Space group P4/mmm (No. 123)
Unique sites:
Cu 0.0000 0.0000 0.2422 (multiplicity 2)  4 Ru 2.67, 4 Cl 2.74, 4 Cu 2.88
Ru 0.5000 0.5000 0.0000 (multiplicity 1)  8 Cu 2.67, 4 Ru 2.88
Cl 0.5000 0.5000 0.5000 (multiplicity 1)  8 Cu 2.74, 4 Cl 2.88



Compound: CsBeRu2Rh
Source: Alexandria
Functional: PBE
Structure: optimized geometry

Results
M_tot (Bohr magnetons per cell): 2.1
DFT formation energy (eV per atom): 1.170
Total DFT energy (no corrections) (eV per atom): -4.9266

Lattice parameters (Å, degrees): 4.4460 4.4460 4.4425 90.00 90.00 90.00
Last column: nearest neighbours and their distance in Å.
Space group P4/mmm (No. 123)
Unique sites:
Cs 0.0000 0.0000 0.0000 (multiplicity 1)  8 Ru 3.14, 4 Rh 3.14
Be 0.5000 0.5000 0.5000 (multiplicity 1)  2 Rh 2.22, 4 Ru 2.22
Ru 0.0000 0.5000 0.5000 (multiplicity 2)  2 Be 2.22
Rh 0.5000 0.5000 0.0000 (multiplicity 1)  2 Be 2.22



Compound: AcLa15In4
Source: Alexandria
Functional: PBE
Structure: optimized geometry

Results
M_tot (Bohr magnetons per cell): 0.0
DFT formation energy (eV per atom): -0.229
Total DFT energy (no corrections) (eV per atom): -4.6780

Lattice parameters (Å, degrees): 5.1033 5.1033 25.7974 90.00 90.00 90.00
Last column: nearest neighbours and their distance in Å.
Space group P4/mmm (No. 123)
Unique sites:
Ac 0.0000 0.0000 0.0000 (multiplicity 1)  12 La 3.61-3.77
La 0.0000 0.5000 0.1075 (multiplicity 4)  2 In 3.60, 8 La 3.61-3.77, 2 Ac 3.77
La 0.0000 0.5000 0.3040 (multiplicity 4)  8 La 3.56-3.61, 4 In 3.59-3.60
La 0.0000 0.5000 0.5000 (multiplicity 2)  4 In 3.59, 8 La 3.61
La 0.5000 0.5000 0.0000 (multiplicity 1)  4 Ac 3.61, 8 La 3.77
La 0.5000 0.5000 0.2079 (multiplicity 2)  8 La 3.56-3.64, 4 In 3.61
La 0.5000 0.5000 0.4012 (multiplicity 2)  8 La 3.58-3.61, 4 In 3.61
In 0.0000 0.0000 0.2062 (multiplicity 2)  12 La 3.59-3.61
In 0.0000 0.0000 0.4023 (multiplicity 2)  12 La 3.59-3.61



Compound: MgAu4Se4Cl4O12
Source: Alexandria
Functional: PBE
Structure: optimized geometry

Results
M_tot (Bohr magnetons per cell): 0.0
Offset from the most stable computed form (eV per formula unit): 0.95
E_form (uncorrected) (eV/atom): -0.6103
Total DFT energy (no corrections) (eV per atom): -4.4314

Lattice parameters (Å, degrees): 5.4108 9.8906 11.1435 98.23 96.94 97.83
Last column: nearest neighbours and their distance in Å.
Space group P1 (No. 1)
Unique sites:
Mg 0.0000 0.0000 0.0000 (multiplicity 1)  3 O 1.95-2.05
Au 0.1144 0.0186 0.7099 (multiplicity 1)  2 O 2.00-2.07
Au 0.1379 0.6128 0.0614 (multiplicity 1)  3 O 2.04-2.05
Au 0.1688 0.4524 0.4260 (multiplicity 1)  3 O 2.01-2.08
Au 0.2122 0.0352 0.2433 (multiplicity 1)  2 O 2.03-2.08
Se 0.0542 0.7490 0.3346 (multiplicity 1)  3 O 1.72-1.77
Se 0.3127 0.3361 0.1495 (multiplicity 1)  3 O 1.71-1.78
Se 0.3902 0.8274 0.8917 (multiplicity 1)  3 O 1.67-1.82
Se 0.8360 0.1833 0.4986 (multiplicity 1)  3 O 1.65-1.81
Cl 0.3805 0.8851 0.6212 (multiplicity 1)  1 Au 2.30
Cl 0.3828 0.5274 0.9206 (multiplicity 1)  1 Au 2.31
Cl 0.8678 0.1509 0.8216 (multiplicity 1)  1 Au 2.34
Cl 0.9204 0.5416 0.5591 (multiplicity 1)  1 Au 2.28
O 0.0607 0.4261 0.1167 (multiplicity 1)  1 Se 1.76
O 0.1112 0.1743 0.1295 (multiplicity 1)  1 Se 1.78
O 0.1469 0.2745 0.4944 (multiplicity 1)  1 Se 1.81, 1 Au 2.01
O 0.1773 0.8001 0.0016 (multiplicity 1)  1 Se 1.80
O 0.2619 0.6320 0.3622 (multiplicity 1)  1 Se 1.75
O 0.2621 0.9870 0.8823 (multiplicity 1)  1 Se 1.82
O 0.3024 0.8717 0.3205 (multiplicity 1)  1 Se 1.72
O 0.3982 0.3739 0.3052 (multiplicity 1)  1 Se 1.71
O 0.6636 0.8916 0.9802 (multiplicity 1)  1 Se 1.67
O 0.7311 0.1173 0.3537 (multiplicity 1)  1 Se 1.65
O 0.9114 0.6839 0.1824 (multiplicity 1)  1 Se 1.77
O 0.9621 0.0338 0.5406 (multiplicity 1)  1 Se 1.81, 1 Au 2.00



Compound: Nd5SnHg2
Source: Alexandria
Functional: PBE
Structure: optimized geometry

Results
M_tot (Bohr magnetons per cell): 0.0
DFT formation energy (eV per atom): -0.449
Total DFT energy (no corrections) (eV per atom): -4.0048

Lattice parameters (Å, degrees): 8.5892 8.5892 13.3259 90.00 90.00 90.00
Last column: nearest neighbours and their distance in Å.
Space group I4/mcm (No. 140)
Unique sites:
Nd 0.0000 0.0000 0.0000 (multiplicity 4)  4 Hg 3.33, 2 Sn 3.33
Nd 0.1566 0.3434 0.1499 (multiplicity 16)  3 Hg 3.20-3.22, 1 Nd 3.50, 2 Sn 3.51
Sn 0.0000 0.0000 0.2500 (multiplicity 4)  10 Nd 3.33-3.51
Hg 0.1375 0.3625 0.5000 (multiplicity 8)  8 Nd 3.20-3.33, 1 Hg 3.34



Compound: Sm8Er3In2
Source: Alexandria
Functional: PBE
Structure: optimized geometry

Results
M_tot (Bohr magnetons per cell): 0.0
DFT formation energy (eV per atom): 0.028
Total DFT energy (no corrections) (eV per atom): -4.3503

Lattice parameters (Å, degrees): 8.2387 18.6031 5.6396 90.00 90.00 90.00
Last column: nearest neighbours and their distance in Å.
Space group Cmmm (No. 65)
Unique sites:
Sm 0.0000 0.1287 0.0000 (multiplicity 4)  2 In 3.41, 4 Er 3.42-3.70, 5 Sm 3.60-3.73
Sm 0.0000 0.3225 0.0000 (multiplicity 4)  2 In 3.29, 5 Sm 3.48-3.60
Sm 0.2046 0.3835 0.5000 (multiplicity 8)  2 In 3.24-3.29, 3 Er 3.26-3.56, 3 Sm 3.37-3.48
Er 0.0000 0.0000 0.5000 (multiplicity 2)  4 Sm 3.26
Er 0.2036 0.5000 0.0000 (multiplicity 4)  3 Er 3.35-3.73, 8 Sm 3.42-3.70
In 0.0000 0.2318 0.5000 (multiplicity 4)  8 Sm 3.24-3.41